[1]
Density functional theory data (PBEsol) for a relaxed structure of ZrAl2Au.

Output
The calculation puts the total magnetization at 0.00 μB/f.u. For the formation enthalpy at 0 K, the calculation gives -2.41 eV per formula unit. The total energy comes out at -23.61 eV/f.u. As for the volume: 68 Å³/cell. As for the space-group type: P4/mmm.

Cell and atoms, written as extended XYZ:
```
4
Lattice="-3.605 -1.503 0.543 0.738 -2.837 -2.952 1.515 -2.597 2.875" Properties=species:S:1:pos:R:3 pbc="T T T"
Au -0.676 -3.468 0.233
Al 0.758 -1.298 1.437
Al 0.369 -1.418 -1.476
Zr -1.802 -0.751 0.271
```



[2]
Density functional theory data (PBEsol) for a relaxed structure of CaMgSi2.

Output
The calculation puts the total magnetization at 0.00 μB/f.u. The total energy comes out at -16.63 eV/f.u. As for the volume: 82 Å³/cell. As for the space-group type: Amm2. For the raw formation energy, the calculation gives -0.32 eV/atom.

Cell and atoms, written as extended XYZ:
```
4
Lattice="3.788 0.000 0.000 0.000 4.271 0.000 0.000 -2.136 5.098" Properties=species:S:1:pos:R:3 pbc="T T T"
Mg 1.894 0.000 3.967
Si 0.000 2.136 3.296
Si 1.894 2.136 1.798
Ca 0.000 0.000 1.085
```



[3]
Density functional theory data (PBEsol) for a relaxed structure of SrNd2BeO5.

Output
The calculation puts the total magnetization at 0.00 μB/f.u. The total energy comes out at -70.74 eV/f.u. As for the volume: 448 Å³/cell. As for the space-group type: Pna2_1. For the raw formation energy, the calculation gives -3.15 eV/atom.

Cell and atoms, written as extended XYZ:
```
36
Lattice="6.508 0.000 0.000 0.000 7.243 0.000 0.000 0.000 9.497" Properties=species:S:1:pos:R:3 pbc="T T T"
Sr 3.788 7.102 6.408
Sr 2.720 3.480 3.088
Sr 0.534 3.480 7.837
Sr 5.974 7.102 1.660
Nd 0.630 5.410 4.973
Nd 2.624 5.410 0.225
Nd 5.878 1.788 4.523
Nd 3.884 1.788 9.272
Nd 6.030 3.819 1.630
Nd 0.478 0.197 7.866
Nd 2.776 0.197 3.118
Nd 3.732 3.819 6.378
Be 4.505 5.426 3.780
Be 5.257 5.426 8.528
Be 2.003 1.804 5.717
Be 1.251 1.804 0.968
O 0.145 5.438 9.392
O 3.109 5.438 4.644
O 6.363 1.816 0.104
O 3.399 1.816 4.853
O 2.040 0.422 0.658
O 1.278 3.203 5.394
O 4.468 4.043 8.839
O 5.230 6.825 4.102
O 4.532 6.825 8.850
O 5.294 4.043 4.090
O 1.976 3.203 0.646
O 1.214 0.422 5.406
O 4.142 5.426 2.134
O 5.620 5.426 6.882
O 2.366 1.805 7.363
O 0.888 1.805 2.615
O 1.070 5.404 2.619
O 2.184 5.404 7.367
O 5.438 1.782 6.878
O 4.324 1.782 2.130
```



[4]
Density functional theory data (PBEsol) for a relaxed structure of IrPt3.

Output
The calculation puts the total magnetization at 0.00 μB/f.u. For the formation enthalpy at 0 K, the calculation gives 0.34 eV per formula unit. The total energy comes out at -30.38 eV/f.u. As for the volume: 237 Å³/cell. As for the space-group type: Pnma.

Cell and atoms, written as extended XYZ:
```
16
Lattice="4.761 0.000 0.000 0.000 5.492 0.000 0.000 0.000 9.045" Properties=species:S:1:pos:R:3 pbc="T T T"
Ir 4.390 2.024 2.261
Ir 2.752 4.770 6.784
Ir 2.009 0.722 2.261
Ir 0.371 3.468 6.784
Pt 0.361 0.682 6.784
Pt 3.585 3.429 9.030
Pt 3.585 3.429 4.537
Pt 3.557 0.683 4.508
Pt 3.557 0.683 0.015
Pt 2.020 3.428 2.261
Pt 2.741 2.064 6.784
Pt 1.204 4.809 9.030
Pt 1.204 4.809 4.537
Pt 1.176 2.063 4.508
Pt 1.176 2.063 0.015
Pt 4.400 4.810 2.261
```



[5]
Density functional theory data (PBEsol) for a relaxed structure of HoAl10Ru2.

Output
The calculation puts the total magnetization at 0.00 μB/f.u. For the formation enthalpy at 0 K, the calculation gives -6.53 eV per formula unit. The total energy comes out at -72.74 eV/f.u. As for the volume: 415 Å³/cell. As for the space-group type: Cmcm.

Cell and atoms, written as extended XYZ:
```
26
Lattice="6.794 -0.003 0.000 -0.803 6.746 0.000 0.000 0.000 9.054" Properties=species:S:1:pos:R:3 pbc="T T T"
Ho 5.821 0.861 6.790
Ho 0.170 5.882 2.263
Al 3.935 2.537 4.975
Al 2.056 4.206 4.079
Al 2.056 4.206 0.448
Al 3.935 2.537 8.606
Al 1.347 1.516 4.527
Al 4.644 5.227 4.527
Al 4.644 5.227 0.000
Al 1.347 1.516 0.000
Al 5.609 1.050 0.906
Al 0.382 5.693 8.148
Al 0.382 5.693 5.432
Al 5.609 1.050 3.621
Al 5.361 3.953 6.790
Al 0.630 2.790 2.263
Al 2.697 0.954 6.790
Al 3.294 5.789 2.263
Al 1.101 3.233 6.790
Al 4.890 3.510 2.263
Al 2.910 5.269 6.790
Al 3.081 1.474 2.263
Ru -0.402 3.373 4.527
Ru -0.402 3.373 0.000
Ru 3.397 -0.002 0.000
Ru 3.397 -0.002 4.527
```



[6]
Density functional theory data (PBEsol) for a relaxed structure of HgPF2.

Output
The calculation puts the total magnetization at 0.28 μB/f.u. The total energy comes out at -11.32 eV/f.u. As for the volume: 55 Å³/cell. As for the space-group type: Fm-3m. For the raw formation energy, the calculation gives -0.28 eV/atom. The calculation puts the energy relative to the lowest polymorph listed for this composition at 0.903 eV/atom.

Cell and atoms, written as extended XYZ:
```
4
Lattice="4.276 0.000 0.000 2.138 3.703 0.000 2.138 1.234 3.491" Properties=species:S:1:pos:R:3 pbc="T T T"
P 0.000 0.000 0.000
Hg 4.276 2.469 1.746
F 2.138 1.234 0.873
F 6.413 3.703 2.618
```



[7]
Density functional theory data (PBEsol) for a relaxed structure of Cr2NiMo.

Output
The calculation puts the total magnetization at 0.00 μB/f.u. For the formation enthalpy at 0 K, the calculation gives 1.49 eV per formula unit. The total energy comes out at -36.92 eV/f.u. As for the volume: 49 Å³/cell. As for the space-group type: R-3m.

Cell and atoms, written as extended XYZ:
```
4
Lattice="-1.392 1.874 -1.043 -0.315 0.099 -2.535 -7.717 -4.263 -0.495" Properties=species:S:1:pos:R:3 pbc="T T T"
Cr -2.218 -0.478 -1.032
Cr -7.206 -1.813 -3.041
Mo -4.712 -1.145 -2.036
Ni 0.000 0.000 0.000
```



[8]
Density functional theory data (PBEsol) for a relaxed structure of Sc2Co21B6.

Output
The calculation puts the total magnetization at 20.43 μB/f.u. For the formation enthalpy at 0 K, the calculation gives -8.72 eV per formula unit. The total energy comes out at -226.51 eV/f.u. As for the volume: 281 Å³/cell. As for the space-group type: Fm-3m.

Cell and atoms, written as extended XYZ:
```
29
Lattice="7.350 0.000 0.000 3.675 6.366 0.000 3.675 2.122 6.002" Properties=species:S:1:pos:R:3 pbc="T T T"
Sc 11.026 6.366 4.501
Sc 3.675 2.122 1.500
Co 0.000 0.000 0.000
Co 7.351 2.291 3.691
Co 7.351 4.244 0.929
Co 9.042 5.220 3.691
Co 5.659 5.220 3.691
Co 7.350 6.197 2.310
Co 7.350 4.244 5.072
Co 5.659 3.267 2.310
Co 9.042 3.267 2.310
Co 6.112 2.145 0.000
Co 1.238 2.145 0.000
Co 3.675 3.552 3.980
Co 1.238 0.715 2.022
Co 6.112 0.715 2.022
Co 3.675 4.936 2.022
Co 2.437 1.407 3.980
Co 2.437 4.221 0.000
Co 4.874 0.000 0.000
Co 4.914 4.221 0.000
Co 4.914 1.407 3.980
Co 2.477 0.000 0.000
B 5.691 3.286 4.356
B 9.010 3.286 4.356
B 7.350 2.327 1.646
B 9.010 5.202 1.646
B 5.691 5.202 1.646
B 7.350 6.160 4.356
```



What did the seventh record say?
Density functional theory data (PBEsol) for a relaxed structure of Cr2NiMo.

Output
The calculation puts the total magnetization at 0.00 μB/f.u. For the formation enthalpy at 0 K, the calculation gives 1.49 eV per formula unit. The total energy comes out at -36.92 eV/f.u. As for the volume: 49 Å³/cell. As for the space-group type: R-3m.

Cell and atoms, written as extended XYZ:
```
4
Lattice="-1.392 1.874 -1.043 -0.315 0.099 -2.535 -7.717 -4.263 -0.495" Properties=species:S:1:pos:R:3 pbc="T T T"
Cr -2.218 -0.478 -1.032
Cr -7.206 -1.813 -3.041
Mo -4.712 -1.145 -2.036
Ni 0.000 0.000 0.000
```



Q: The highest volume belongs to which entry?
A: SrNd2BeO5



Q: Which of these has the highest total energy?
A: HgPF2